## KSi4Pb (GGA-PBEsol)

Data for a geometry-optimized KSi4Pb structure.

Properties
- Crystal system: cubic
- Space-group type: No. 216
- Raw formation energy: 312 meV/atom

abc: 5.473 5.473 5.473
angles: 60.00 60.00 60.00
Positions (direct):
K: 0.750 0.750 0.750
Pb: 0.000 0.000 0.000
Si: 0.378 0.378 0.378
Si: 0.378 0.378 0.865
Si: 0.865 0.378 0.378
Si: 0.378 0.865 0.378